A relaxed ScCr2IrO crystal, computed with PBE+U.

Summary:
calculated total energy: -0.2421 Ha/atom
mass density: 5.7 g/cm3
V: 104 Å³ per cell

```
data_ScCr2IrO
_cell_length_a 5.2957
_cell_length_b 5.2957
_cell_length_c 3.6909
_cell_angle_alpha 90.00
_cell_angle_beta 90.00
_cell_angle_gamma 90.00
_symmetry_space_group_name_H-M 'P 4/m m m'
_symmetry_Int_Tables_number 123
_symmetry_space_group_name_Hall '-P 4 2'
loop_
_atom_site_label
_atom_site_type_symbol
_atom_site_fract_x
_atom_site_fract_y
_atom_site_fract_z
Sc1 Sc 0.0000 0.0000 0.0000
Cr1 Cr 0.0000 0.5000 0.5000
Ir1 Ir 0.5000 0.5000 0.5000
O1 O 0.5000 0.5000 0.0000
```